Arrangement one

# Zr2HI

A relaxed structure of Zr2HI (GGA-PBE, Alexandria via LeMat-Bulk).

## Properties
The space-group type is I-42d, No. 122.

The structure in extended XYZ format:
```
8
Lattice="-2.7497 2.7497 5.6036 2.7497 -2.7497 5.6036 2.7497 2.7497 -5.6036" Properties=species:S:1:pos:R:3 pbc="T T T"
Zr 0.5581 1.3749 1.4009
Zr -1.3749 2.1917 4.2027
Zr -0.5581 4.1246 1.4009
Zr 1.3749 3.3078 4.2027
H 0.0000 0.0000 0.0000
H 0.0000 2.7497 2.8018
I 2.7497 0.0000 2.8018
I 0.0000 0.0000 5.6036
```

***

Arrangement two

# Zr2HI

A relaxed structure of Zr2HI (GGA-PBE, Alexandria via LeMat-Bulk).

## Properties
The space-group type is Fm-3m, No. 225.

The structure in extended XYZ format:
```
4
Lattice="0.0000 3.3731 3.3731 3.3731 0.0000 3.3731 3.3731 3.3731 0.0000" Properties=species:S:1:pos:R:3 pbc="T T T"
Zr 1.6865 1.6865 1.6865
Zr 5.0596 5.0596 5.0596
H 0.0000 0.0000 0.0000
I 3.3731 3.3731 3.3731
```

***

In order of decreasing stability: arrangement one, arrangement two.

***

Arrangement one

# In3HIr

A relaxed structure of In3HIr (GGA-PBE, Alexandria via LeMat-Bulk).

## Properties
The space-group type is Pm-3m, No. 221.

The structure in extended XYZ format:
```
5
Lattice="4.4246 0.0000 0.0000 0.0000 4.4246 0.0000 0.0000 0.0000 4.4246" Properties=species:S:1:pos:R:3 pbc="T T T"
In 0.0000 0.0000 2.2123
In 0.0000 2.2123 0.0000
In 2.2123 0.0000 0.0000
H 0.0000 0.0000 0.0000
Ir 2.2123 2.2123 2.2123
```

***

Arrangement two

# In3HIr

A relaxed structure of In3HIr (GGA-PBE, Alexandria via LeMat-Bulk).

## Properties
The space-group type is Pm-3m, No. 221.

The structure in extended XYZ format:
```
5
Lattice="5.1547 0.0000 0.0000 0.0000 5.1547 0.0000 0.0000 0.0000 5.1547" Properties=species:S:1:pos:R:3 pbc="T T T"
In 0.0000 0.0000 2.5773
In 0.0000 2.5773 0.0000
In 2.5773 0.0000 0.0000
H 2.5773 2.5773 2.5773
Ir 0.0000 0.0000 0.0000
```

***

In order of decreasing stability: arrangement two, arrangement one.

***

Arrangement one

# InHIr2

A relaxed structure of InHIr2 (GGA-PBE, Alexandria via LeMat-Bulk).

## Properties
The space-group type is I-42d, No. 122.

The structure in extended XYZ format:
```
8
Lattice="-3.1353 3.1353 2.7234 3.1353 -3.1353 2.7234 3.1353 3.1353 -2.7234" Properties=species:S:1:pos:R:3 pbc="T T T"
In 0.0000 0.0000 0.0000
In 0.0000 3.1353 1.3617
H 3.1353 0.0000 1.3617
H 0.0000 0.0000 2.7234
Ir 1.5677 -0.8909 2.0425
Ir 2.2444 1.5677 0.6808
Ir 1.5677 4.0262 -0.6808
Ir 0.8909 1.5677 3.4042
```

***

Arrangement two

# InHIr2

A relaxed structure of InHIr2 (GGA-PBE, Alexandria via LeMat-Bulk).

## Properties
The space-group type is Fm-3m, No. 225.

The structure in extended XYZ format:
```
4
Lattice="0.0000 3.0636 3.0636 3.0636 0.0000 3.0636 3.0636 3.0636 0.0000" Properties=species:S:1:pos:R:3 pbc="T T T"
In 0.0000 0.0000 0.0000
H 3.0636 3.0636 3.0636
Ir 1.5318 1.5318 1.5318
Ir 4.5954 4.5954 4.5954
```

***

In order of decreasing stability: arrangement one, arrangement two.

***

Arrangement one

# Mg2InHIr

A relaxed structure of Mg2InHIr (GGA-PBE, Alexandria via LeMat-Bulk).

## Properties
The space-group type is P4/mmm, No. 123.

The structure in extended XYZ format:
```
5
Lattice="4.0628 0.0000 0.0000 0.0000 4.0628 0.0000 0.0000 0.0000 4.5775" Properties=species:S:1:pos:R:3 pbc="T T T"
Mg 0.0000 2.0314 0.0000
Mg 2.0314 0.0000 0.0000
In 0.0000 0.0000 2.2888
H 0.0000 0.0000 0.0000
Ir 2.0314 2.0314 2.2888
```

***

Arrangement two

# Mg2InHIr

A relaxed structure of Mg2InHIr (GGA-PBE, Alexandria via LeMat-Bulk).

## Properties
The space-group type is P4/mmm, No. 123.

The structure in extended XYZ format:
```
5
Lattice="4.5256 0.0000 0.0000 0.0000 4.5256 0.0000 0.0000 0.0000 3.6554" Properties=species:S:1:pos:R:3 pbc="T T T"
Mg 0.0000 2.2628 0.0000
Mg 2.2628 0.0000 0.0000
In 0.0000 0.0000 1.8277
H 2.2628 2.2628 0.0000
Ir 2.2628 2.2628 1.8277
```

***

In order of decreasing stability: arrangement two, arrangement one.

***

Arrangement one

# InHIrPt2

A relaxed structure of InHIrPt2 (GGA-PBE, Alexandria via LeMat-Bulk).

## Properties
The space-group type is P4/mmm, No. 123.

The structure in extended XYZ format:
```
5
Lattice="4.0895 0.0000 0.0000 0.0000 4.0895 0.0000 0.0000 0.0000 4.0646" Properties=species:S:1:pos:R:3 pbc="T T T"
In 0.0000 0.0000 0.0000
H 2.0447 2.0447 2.0323
Ir 2.0447 2.0447 0.0000
Pt 0.0000 2.0447 2.0323
Pt 2.0447 0.0000 2.0323
```

***

Arrangement two

# InHIrPt2

A relaxed structure of InHIrPt2 (GGA-PBE, Alexandria via LeMat-Bulk).

## Properties
The space-group type is P4/mmm, No. 123.

The structure in extended XYZ format:
```
5
Lattice="4.8745 0.0000 0.0000 0.0000 4.8745 0.0000 0.0000 0.0000 5.2131" Properties=species:S:1:pos:R:3 pbc="T T T"
In 0.0000 0.0000 0.0000
H 2.4373 2.4373 0.0000
Ir 0.0000 0.0000 2.6066
Pt 0.0000 2.4373 2.6066
Pt 2.4373 0.0000 2.6066
```

***

In order of decreasing stability: arrangement one, arrangement two.

***

Arrangement one

# K2InSbH

A relaxed structure of K2InSbH (GGA-PBE, Alexandria via LeMat-Bulk).

## Properties
The space-group type is P4/mmm, No. 123.

The structure in extended XYZ format:
```
5
Lattice="4.9561 0.0000 0.0000 0.0000 4.9561 0.0000 0.0000 0.0000 5.4233" Properties=species:S:1:pos:R:3 pbc="T T T"
K 0.0000 2.4780 0.0000
K 2.4780 0.0000 0.0000
In 0.0000 0.0000 2.7116
Sb 2.4780 2.4780 2.7116
H 0.0000 0.0000 0.0000
```

***

Arrangement two

# K2InSbH

A relaxed structure of K2InSbH (GGA-PBE, Alexandria via LeMat-Bulk).

## Properties
The space-group type is P2_1/m, No. 11.

The structure in extended XYZ format:
```
10
Lattice="7.1032 0.0000 0.0000 0.0000 5.6441 0.0000 -2.5749 0.0000 8.1992" Properties=species:S:1:pos:R:3 pbc="T T T"
K -0.1389 1.4110 3.0849
K -0.5766 1.4110 7.5827
K 5.1049 4.2331 0.6165
K 4.6672 4.2331 5.1143
In 2.1982 4.2331 2.7372
In 2.3301 1.4110 5.4620
Sb 1.1094 4.2331 5.6241
Sb 3.4189 1.4110 2.5751
H 0.5419 4.2331 1.7175
H 3.9864 1.4110 6.4817
```

***

In order of decreasing stability: arrangement two, arrangement one.

***

Arrangement one

# KSr2InH

A relaxed structure of KSr2InH (GGA-PBE, Alexandria via LeMat-Bulk).

## Properties
The space-group type is P4/mmm, No. 123.

The structure in extended XYZ format:
```
5
Lattice="5.7105 0.0000 0.0000 0.0000 5.7105 0.0000 0.0000 0.0000 4.9508" Properties=species:S:1:pos:R:3 pbc="T T T"
K 0.0000 0.0000 0.0000
Sr 0.0000 2.8553 2.4754
Sr 2.8553 0.0000 2.4754
In 2.8553 2.8553 0.0000
H 2.8553 2.8553 2.4754
```

***

Arrangement two

# KSr2InH

A relaxed structure of KSr2InH (GGA-PBE, Alexandria via LeMat-Bulk).

## Properties
The space-group type is P4/mmm, No. 123.

The structure in extended XYZ format:
```
5
Lattice="5.4991 0.0000 0.0000 0.0000 5.4991 0.0000 0.0000 0.0000 5.1905" Properties=species:S:1:pos:R:3 pbc="T T T"
K 0.0000 0.0000 0.0000
Sr 0.0000 2.7496 2.5952
Sr 2.7496 0.0000 2.5952
In 2.7496 2.7496 0.0000
H 0.0000 0.0000 2.5952
```

***

In order of decreasing stability: arrangement two, arrangement one.

***

Arrangement one

# La3InH

A relaxed structure of La3InH (GGA-PBE, Alexandria via LeMat-Bulk).

## Properties
The space-group type is Pm-3m, No. 221.

The structure in extended XYZ format:
```
5
Lattice="5.1068 0.0000 0.0000 0.0000 5.1068 0.0000 0.0000 0.0000 5.1068" Properties=species:S:1:pos:R:3 pbc="T T T"
La 0.0000 0.0000 2.5534
La 0.0000 2.5534 0.0000
La 2.5534 0.0000 0.0000
In 2.5534 2.5534 2.5534
H 0.0000 0.0000 0.0000
```

***

Arrangement two

# La3InH

A relaxed structure of La3InH (GGA-PBE, Alexandria via LeMat-Bulk).

## Properties
The space-group type is C2/m, No. 12.

The structure in extended XYZ format:
```
10
Lattice="8.2531 -1.8857 0.0000 8.2531 1.8857 0.0000 -0.1171 0.0000 9.5145" Properties=species:S:1:pos:R:3 pbc="T T T"
La 0.4465 0.0000 3.0066
La 2.1653 0.0000 9.2126
La 5.5638 0.0000 3.7684
La 10.8252 0.0000 5.7461
La 14.2237 0.0000 0.3020
La 15.9425 0.0000 6.5079
In 4.9421 0.0000 7.1838
In 11.4469 0.0000 2.3307
H 1.7558 0.0000 6.9041
H 14.6333 0.0000 2.6104
```

***

In order of decreasing stability: arrangement one, arrangement two.